(1)
Compound: Mg2P
Source: the Alexandria database
Functional: GGA-PBE
Structure: relaxed

Lattice parameters (Å, degrees): 3.172 3.172 11.647 90.00 90.00 90.00
Element x y z (fractional)
Mg: 0.000 0.000 0.143
Mg: 0.000 0.000 0.857
Mg: 0.500 0.500 0.357
Mg: 0.500 0.500 0.643
P: 0.000 0.000 0.500
P: 0.500 0.500 0.000

- Symmetry: I4/mmm (139)
- Excess energy over the best structure of this formula in the dataset: 345 meV per atom
- ΔE_f: -108 meV/atom


(2)
Compound: MgP3
Source: the Alexandria database
Functional: GGA-PBE
Structure: relaxed

Lattice parameters (Å, degrees): 3.603 3.603 10.082 90.00 90.00 90.00
Element x y z (fractional)
Mg: 0.000 0.000 0.000
Mg: 0.500 0.500 0.500
P: 0.000 0.000 0.500
P: 0.000 0.500 0.250
P: 0.000 0.500 0.750
P: 0.500 0.000 0.250
P: 0.500 0.000 0.750
P: 0.500 0.500 0.000

- Symmetry: I4/mmm (139)
- ΔE_f: 287 meV/atom


(3)
Compound: Mg2P
Source: the Alexandria database
Functional: GGA-PBE
Structure: relaxed

Lattice parameters (Å, degrees): 4.057 15.354 3.972 90.00 90.00 90.00
Element x y z (fractional)
Mg: 0.000 0.081 0.250
Mg: 0.000 0.249 0.750
Mg: 0.000 0.751 0.250
Mg: 0.000 0.919 0.750
Mg: 0.500 0.251 0.250
Mg: 0.500 0.419 0.750
Mg: 0.500 0.581 0.250
Mg: 0.500 0.749 0.750
P: 0.000 0.360 0.250
P: 0.000 0.640 0.750
P: 0.500 0.140 0.750
P: 0.500 0.860 0.250

- Symmetry: Cmcm (63)
- Excess energy over the best structure of this formula in the dataset: 206 meV per atom
- ΔE_f: -248 meV/atom


(4)
Compound: MgP5
Source: the Alexandria database
Functional: GGA-PBE
Structure: relaxed

Lattice parameters (Å, degrees): 10.186 3.298 6.363 90.00 105.39 90.00
Element x y z (fractional)
Mg: 0.000 0.000 0.000
Mg: 0.500 0.500 0.000
P: 0.036 0.500 0.399
P: 0.217 0.500 0.997
P: 0.222 0.000 0.459
P: 0.289 0.000 0.824
P: 0.413 0.500 0.530
P: 0.536 0.000 0.399
P: 0.717 0.000 0.997
P: 0.722 0.500 0.459
P: 0.789 0.500 0.824
P: 0.913 0.000 0.530

- Symmetry: Cm (8)
- Excess energy over the best structure of this formula in the dataset: 0 meV per atom
- ΔE_f: 80 meV/atom


(5)
Compound: Mg2P
Source: the Alexandria database
Functional: GGA-PBE
Structure: relaxed

Lattice parameters (Å, degrees): 4.062 16.867 4.508 90.00 90.00 90.00
Element x y z (fractional)
Mg: 0.000 0.069 0.250
Mg: 0.000 0.266 0.250
Mg: 0.000 0.734 0.750
Mg: 0.000 0.931 0.750
Mg: 0.500 0.234 0.750
Mg: 0.500 0.431 0.750
Mg: 0.500 0.569 0.250
Mg: 0.500 0.766 0.250
P: 0.000 0.334 0.750
P: 0.000 0.666 0.250
P: 0.500 0.166 0.250
P: 0.500 0.834 0.750

- Symmetry: Cmcm (63)
- Excess energy over the best structure of this formula in the dataset: 74 meV per atom
- ΔE_f: -379 meV/atom


(6)
Compound: MgP3
Source: the Alexandria database
Functional: GGA-PBE
Structure: relaxed

Lattice parameters (Å, degrees): 3.611 3.611 20.614 90.00 90.00 90.00
Element x y z (fractional)
Mg: 0.000 0.000 0.149
Mg: 0.000 0.000 0.851
Mg: 0.500 0.500 0.351
Mg: 0.500 0.500 0.649
P: 0.000 0.000 0.414
P: 0.000 0.000 0.586
P: 0.000 0.500 0.000
P: 0.000 0.500 0.250
P: 0.000 0.500 0.500
P: 0.000 0.500 0.750
P: 0.500 0.000 0.000
P: 0.500 0.000 0.250
P: 0.500 0.000 0.500
P: 0.500 0.000 0.750
P: 0.500 0.500 0.086
P: 0.500 0.500 0.914

- Symmetry: I4/mmm (139)
- ΔE_f: 119 meV/atom


(7)
Compound: MgP7
Source: the Alexandria database
Functional: GGA-PBE
Structure: relaxed

Lattice parameters (Å, degrees): 5.560 5.560 5.560 60.00 60.00 60.00
Element x y z (fractional)
Mg: 0.000 0.000 0.000
P: 0.000 0.000 0.500
P: 0.000 0.500 0.000
P: 0.000 0.500 0.500
P: 0.500 0.000 0.000
P: 0.500 0.000 0.500
P: 0.500 0.500 0.000
P: 0.500 0.500 0.500

- Symmetry: Fm-3m (225)
- ΔE_f: 634 meV/atom


(8)
Compound: MgP3
Source: the Alexandria database
Functional: GGA-PBE
Structure: relaxed

Lattice parameters (Å, degrees): 4.817 4.817 4.817 90.00 90.00 90.00
Element x y z (fractional)
Mg: 0.000 0.000 0.000
P: 0.000 0.000 0.500
P: 0.000 0.500 0.000
P: 0.500 0.000 0.000

- Symmetry: Pm-3m (221)
- ΔE_f: 1285 meV/atom


(9)
Compound: Mg2P
Source: the Alexandria database
Functional: GGA-PBE
Structure: relaxed

Lattice parameters (Å, degrees): 4.014 4.014 13.711 90.00 90.00 90.00
Element x y z (fractional)
Mg: 0.000 0.000 0.175
Mg: 0.000 0.000 0.825
Mg: 0.000 0.500 0.000
Mg: 0.000 0.500 0.500
Mg: 0.500 0.000 0.000
Mg: 0.500 0.000 0.500
Mg: 0.500 0.500 0.325
Mg: 0.500 0.500 0.675
P: 0.000 0.000 0.363
P: 0.000 0.000 0.637
P: 0.500 0.500 0.137
P: 0.500 0.500 0.863

- Symmetry: I4/mmm (139)
- Excess energy over the best structure of this formula in the dataset: 18 meV per atom
- ΔE_f: -435 meV/atom


(10)
Compound: Mg2P
Source: the Alexandria database
Functional: GGA-PBE
Structure: relaxed

Lattice parameters (Å, degrees): 5.667 5.667 5.667 90.00 90.00 90.00
Element x y z (fractional)
Mg: 0.000 0.000 0.000
Mg: 0.000 0.500 0.500
Mg: 0.500 0.000 0.500
Mg: 0.500 0.500 0.000
P: 0.250 0.250 0.250
P: 0.750 0.750 0.750

- Symmetry: Pn-3m (224)
- Excess energy over the best structure of this formula in the dataset: 488 meV per atom
- ΔE_f: 35 meV/atom


(11)
Compound: Mg2P
Source: the Alexandria database
Functional: GGA-PBE
Structure: relaxed

Lattice parameters (Å, degrees): 11.691 3.570 6.875 90.00 120.10 90.00
Element x y z (fractional)
Mg: 0.123 0.000 0.495
Mg: 0.168 0.000 0.080
Mg: 0.332 0.500 0.920
Mg: 0.377 0.500 0.505
Mg: 0.623 0.500 0.495
Mg: 0.668 0.500 0.080
Mg: 0.832 0.000 0.920
Mg: 0.877 0.000 0.505
P: 0.075 0.500 0.770
P: 0.425 0.000 0.230
P: 0.575 0.000 0.770
P: 0.925 0.500 0.230

- Symmetry: C2/m (12)
- Excess energy over the best structure of this formula in the dataset: 223 meV per atom
- ΔE_f: -231 meV/atom


(12)
Compound: Mg5P4
Source: the Alexandria database
Functional: GGA-PBE
Structure: relaxed

Lattice parameters (Å, degrees): 6.846 6.846 6.846 95.18 95.18 145.01
Element x y z (fractional)
Mg: 0.000 0.000 0.000
Mg: 0.326 0.326 0.653
Mg: 0.326 0.674 0.000
Mg: 0.674 0.326 0.000
Mg: 0.674 0.674 0.347
P: 0.000 0.274 0.274
P: 0.000 0.726 0.726
P: 0.274 0.000 0.274
P: 0.726 0.000 0.726

- Symmetry: I4/mmm (139)
- ΔE_f: -81 meV/atom


(13)
Compound: MgP3
Source: the Alexandria database
Functional: GGA-PBE
Structure: relaxed

Lattice parameters (Å, degrees): 3.229 4.574 8.551 90.00 90.00 90.00
Element x y z (fractional)
Mg: 0.000 0.000 0.000
Mg: 0.500 0.500 0.500
P: 0.000 0.000 0.500
P: 0.000 0.500 0.205
P: 0.000 0.500 0.795
P: 0.500 0.000 0.295
P: 0.500 0.000 0.705
P: 0.500 0.500 0.000

- Symmetry: Immm (71)
- ΔE_f: 119 meV/atom


(14)
Compound: MgP3
Source: the Alexandria database
Functional: GGA-PBE
Structure: relaxed

Lattice parameters (Å, degrees): 3.470 3.470 18.968 90.00 90.00 120.00
Element x y z (fractional)
Mg: 0.000 0.000 0.000
Mg: 0.333 0.667 0.667
Mg: 0.667 0.333 0.333
P: 0.000 0.000 0.237
P: 0.000 0.000 0.500
P: 0.000 0.000 0.763
P: 0.333 0.667 0.167
P: 0.333 0.667 0.429
P: 0.333 0.667 0.904
P: 0.667 0.333 0.096
P: 0.667 0.333 0.571
P: 0.667 0.333 0.833

- Symmetry: R-3m (166)
- ΔE_f: -68 meV/atom